The following is a DFT calculation (meta-GGA SCAN) of a PBEsol-optimized structure of PWCl2.

Cell lengths 4.9063, 4.9063, 2.8143 Å; angles 90.00, 90.00, 111.81 degrees
Closest atoms and distances in Å follow each position.
Fractional coordinates of all 4 atoms:
P  0.0000  0.0000  0.0000  2 W 2.75, 2 P 2.81, 8 Cl 2.83
W  0.5000  0.5000  0.0000  2 P 2.75, 2 W 2.81, 8 Cl 2.83
Cl  0.0000  0.5000  0.5000  4 Cl 2.75-2.81, 4 W 2.83, 4 P 2.83
Cl  0.5000  0.0000  0.5000  4 Cl 2.75-2.81, 4 W 2.83, 4 P 2.83

## Properties
Energy above the lowest structure with this stoichiometry, eV/atom: 1.484
Mass density, g cm⁻³: 7.5
Formation energy from raw total energies, meV per atom: 1311


The following is a DFT calculation (meta-GGA SCAN) of a PBEsol-optimized structure of PW2Cl.

Cell lengths 4.7309, 4.7309, 4.7309 Å; angles 130.86, 130.86, 72.04 degrees
Closest atoms and distances in Å follow each position.
Fractional coordinates of all 4 atoms:
P  0.0000  0.0000  0.0000  8 W 2.74-2.78, 4 Cl 2.74
W  0.5000  0.5000  0.0000  4 Cl 2.74, 4 W 2.74, 4 P 2.78
W  0.7500  0.2500  0.5000  4 W 2.74, 4 P 2.74, 4 Cl 2.78
Cl  0.2500  0.7500  0.5000  8 W 2.74-2.78, 4 P 2.74

## Properties
Mass density, g cm⁻³: 12.2
Formation energy from raw total energies, meV per atom: 1037


The following is a DFT calculation (meta-GGA SCAN) of a PBEsol-optimized structure of PWCl9.

Cell lengths 6.3878, 9.5606, 11.0645 Å; angles 107.57, 105.25, 90.26 degrees
Closest atoms and distances in Å follow each position.
Fractional coordinates of all 22 atoms:
P  0.1041  0.2012  0.3252  3 Cl 2.05-2.06
P  0.8959  0.7988  0.6748  3 Cl 2.05-2.06
W  0.4216  0.2357  0.7913  6 Cl 2.28-2.30
W  0.5784  0.7643  0.2087  6 Cl 2.28-2.30
Cl  0.0818  0.1166  0.6766  1 W 2.30
Cl  0.0852  0.8552  0.8673  1 P 2.06
Cl  0.1166  0.7023  0.5772  1 P 2.05
Cl  0.2401  0.6446  0.0988  1 W 2.28
Cl  0.2854  0.3855  0.3355  1 P 2.06
Cl  0.2881  0.4532  0.7788  1 W 2.28
Cl  0.3388  0.2701  0.9859  1 W 2.28
Cl  0.4490  0.9843  0.1961  1 W 2.29
Cl  0.4946  0.8037  0.4052  1 W 2.30
Cl  0.5054  0.1963  0.5948  1 W 2.30
Cl  0.5510  0.0157  0.8039  1 W 2.29
Cl  0.6612  0.7299  0.0141  1 W 2.28
Cl  0.7119  0.5468  0.2212  1 W 2.28
Cl  0.7146  0.6145  0.6645  1 P 2.06
Cl  0.7599  0.3554  0.9012  1 W 2.28
Cl  0.8834  0.2977  0.4228  1 P 2.05
Cl  0.9148  0.1448  0.1327  1 P 2.06
Cl  0.9182  0.8834  0.3234  1 W 2.30

## Properties
Mass density, g cm⁻³: 2.9
Formation energy from raw total energies, meV per atom: -849


Number 2 is which compound? PW2Cl


Which formula does entry 2 have? PW2Cl


What did the second record say?
The following is a DFT calculation (meta-GGA SCAN) of a PBEsol-optimized structure of PW2Cl.

Cell lengths 4.7309, 4.7309, 4.7309 Å; angles 130.86, 130.86, 72.04 degrees
Closest atoms and distances in Å follow each position.
Fractional coordinates of all 4 atoms:
P  0.0000  0.0000  0.0000  8 W 2.74-2.78, 4 Cl 2.74
W  0.5000  0.5000  0.0000  4 Cl 2.74, 4 W 2.74, 4 P 2.78
W  0.7500  0.2500  0.5000  4 W 2.74, 4 P 2.74, 4 Cl 2.78
Cl  0.2500  0.7500  0.5000  8 W 2.74-2.78, 4 P 2.74

## Properties
Mass density, g cm⁻³: 12.2
Formation energy from raw total energies, meV per atom: 1037